No. 1
The following is a PBE-GGA calculation of crystalline La2InGe4Ir3 at its relaxed geometry, from Alexandria.

```
La2InGe4Ir3
1.0
4.3736 0.0000 0.0000
0.0000 4.3736 0.0000
0.0000 0.0000 10.5190
La In Ge Ir
2 1 4 3
direct
0.0000 0.5000 0.2355
0.5000 0.0000 0.7645
0.0000 0.0000 0.5000
0.0000 0.0000 0.0000
0.0000 0.5000 0.6509
0.5000 0.0000 0.3491
0.5000 0.5000 0.0000
0.0000 0.5000 0.8829
0.5000 0.0000 0.1171
0.5000 0.5000 0.5000
```

Energy of formation = -0.666 eV/atom
Total DFT energy (no corrections) = -6.4304 eV per atom

No. 2
The following is a PBE-GGA calculation of crystalline TcSb2Au at its relaxed geometry, from Alexandria.

```
TcSb2Au
1.0
3.2016 0.0000 0.0000
0.0000 3.2678 0.0000
-0.0194 0.0000 8.1978
Tc Sb Au
1 2 1
direct
0.0000 0.0000 0.0000
0.4986 0.5000 0.7982
0.5014 0.5000 0.2018
0.5000 0.0000 0.5000
```

Formation energy from raw total energies = 0.4 eV/f.u.
Total DFT energy (no corrections) = -5.3655 eV per atom
ΔE to the lowest computed polymorph = 0 meV/atom

No. 3
The following is a PBE-GGA calculation of crystalline TaTe2P at its relaxed geometry, from Alexandria.

```
TaTe2P
1.0
3.3921 0.0000 0.0000
0.0000 3.3921 0.0000
0.0000 0.0000 8.0376
Ta Te P
1 2 1
direct
0.0000 0.0000 0.0000
0.0000 0.0000 0.6444
0.5000 0.5000 0.2270
0.5000 0.5000 0.8691
```

Formation energy from raw total energies = -0.6 eV/f.u.
Total DFT energy (no corrections) = -6.0382 eV per atom

No. 4
The following is a PBE-GGA calculation of crystalline TmLu2In at its relaxed geometry, from Alexandria.

```
TmLu2In
1.0
1.7075 0.9858 11.6951
-1.7075 0.9858 11.6951
0.0000 -1.9717 11.6951
Tm Lu In
1 2 1
direct
0.0000 0.0000 0.0000
0.0949 0.0949 0.0949
0.9051 0.9051 0.9051
0.5000 0.5000 0.5000
```

Energy of formation = 0.100 eV/atom
Total DFT energy (no corrections) = -3.9626 eV per atom
ΔE to the lowest computed polymorph = 352 meV/atom